Record 1
Density functional theory data (PBE) for a geometry-optimized Pu4GePd2Au structure.

raw total energy = -78.7 eV for the cell shown
magnetization = 2.77 μB per atom
ΔE_f = -0.3818 eV/atom
symmetry = R-3m (166)
V = 22.674 Å³/atom

Cell lengths 8.788, 8.788, 8.788 Å; angles 33.23, 33.23, 33.23 degrees
Atoms (fractional coordinates):
1 Pu 0.121 0.121 0.121
2 Pu 0.371 0.371 0.371
3 Pu 0.629 0.629 0.629
4 Pu 0.879 0.879 0.879
5 Ge 0.000 0.000 0.000
6 Pd 0.244 0.244 0.244
7 Pd 0.756 0.756 0.756
8 Au 0.500 0.500 0.500

Record 2
Density functional theory data (PBE) for a geometry-optimized DyEr2Ir structure.

raw total energy = -49.7 eV for the cell shown
magnetization = 0.00 μB per atom
ΔE_f = -0.5680 eV/atom
symmetry = Cmcm (63)
E above lowest polymorph = 37 meV/atom
V = 26.236 Å³/atom

Cell lengths 6.306, 6.306, 9.019 Å; angles 90.00, 90.00, 144.18 degrees
Atoms (fractional coordinates):
1 Dy 0.073 0.927 0.750
2 Dy 0.927 0.073 0.250
3 Er 0.358 0.642 0.566
4 Er 0.358 0.642 0.934
5 Er 0.642 0.358 0.066
6 Er 0.642 0.358 0.434
7 Ir 0.253 0.747 0.250
8 Ir 0.747 0.253 0.750

Record 3
Density functional theory data (PBE) for a geometry-optimized NbTe3Cl structure.

raw total energy = -21.2 eV for the cell shown
magnetization = 0.00 μB per atom
formation energy (no corrections) = 3 kJ/mol of atoms
symmetry = Pm-3m (221)
E above lowest polymorph = 0 meV/atom
V = 31.111 Å³/atom

Cell lengths 5.378, 5.378, 5.378 Å; angles 90.00, 90.00, 90.00 degrees
Atoms (fractional coordinates):
1 Nb 0.000 0.000 0.000
2 Te 0.000 0.000 0.500
3 Te 0.000 0.500 0.000
4 Te 0.500 0.000 0.000
5 Cl 0.500 0.500 0.500

Record 4
Density functional theory data (PBE) for a geometry-optimized ErHgPb2 structure.

raw total energy = -13.4 eV for the cell shown
magnetization = 0.00 μB per atom
ΔE_f = -0.2726 eV/atom
symmetry = P4/mmm (123)
V = 26.841 Å³/atom

Cell lengths 4.807, 4.807, 4.647 Å; angles 90.00, 90.00, 90.00 degrees
Atoms (fractional coordinates):
1 Er 0.000 0.000 0.000
2 Hg 0.500 0.500 0.000
3 Pb 0.000 0.500 0.500
4 Pb 0.500 0.000 0.500